1.
A relaxed structure of PuScS2. Source: Alexandria via LeMat-Bulk, functional PBE-GGA.

Computed properties:
N(E_F) (states/eV/cell): 6.46
Formation energy from raw total energies (eV per atom): -1.707
Distance to the lowest polymorph of the same formula (meV/atom): 122
Total magnetic moment (μB/cell): 5.36

Geometry as POSCAR:
```
PuScS2
1.0
1.8527 1.0696 6.7555
-1.8527 1.0696 6.7555
0.0000 -2.1393 6.7555
Pu Sc S
1 1 2
direct
0.0000 0.0000 0.0000
0.1758 0.1758 0.1758
0.4260 0.4260 0.4260
0.5831 0.5831 0.5831
```

***

2.
A relaxed structure of PuSc4S5. Source: Alexandria via LeMat-Bulk, functional PBE-GGA.

Computed properties:
N(E_F) (states/eV/cell): 8.63
Formation energy from raw total energies (eV per atom): -1.850
Total magnetic moment (μB/cell): 5.59

Geometry as POSCAR:
```
PuSc4S5
1.0
-1.8705 2.6514 9.3495
1.8705 -2.6514 9.3495
1.8705 2.6514 -9.3495
Pu Sc S
1 4 5
direct
0.0000 0.0000 0.0000
0.2006 0.2006 0.0000
0.4005 0.4005 0.0000
0.5995 0.5995 0.0000
0.7994 0.7994 0.0000
0.1063 0.6063 0.5000
0.3003 0.8003 0.5000
0.5000 0.0000 0.5000
0.6997 0.1997 0.5000
0.8937 0.3937 0.5000
```